1.
# CoHg2Se

An optimized crystal structure of CoHg2Se (PBE, Alexandria via LeMat-Bulk).

Summary:
Magnetization   1.7 μB/f.u.
ΔE_f (raw)   1.611 eV per formula unit
Space group   Cmmm
Energy   -9.58 eV for the cell shown

Unit cell a=3.878 b=4.902 c=4.905 alpha=69.17 beta=90.00 gamma=90.00
Each line ends with the local moment (μB).
Element x y z (fractional)
Hg1 0.000 0.977 0.977  0.00
Hg2 0.000 0.523 0.523  0.00
Co1 0.500 0.750 0.750  1.70
Se1 0.500 0.250 0.250  0.01



2.
# La2BiSe2

An optimized crystal structure of La2BiSe2 (PBE, Alexandria via LeMat-Bulk).

Summary:
Magnetization   0.0 μB/f.u.
ΔE_f (raw)   -7.245 eV per formula unit
Space group   P4/mbm
E above lowest polymorph   0.000 eV/atom
Energy   -55.90 eV for the cell shown

Unit cell a=8.692 b=8.692 c=3.871 alpha=90.00 beta=90.00 gamma=90.00
Element x y z (fractional)
Se1 0.364 0.136 0.500
Se2 0.136 0.636 0.500
Se3 0.864 0.364 0.500
Se4 0.636 0.864 0.500
Bi1 0.000 0.000 0.000
Bi2 0.500 0.500 0.000
La1 0.340 0.840 0.000
La2 0.660 0.160 0.000
La3 0.840 0.660 0.000
La4 0.160 0.340 0.000



3.
# BeTeAs2

An optimized crystal structure of BeTeAs2 (PBE, Alexandria via LeMat-Bulk).

Summary:
Magnetization   0.0 μB/f.u.
ΔE_f (raw)   1.672 eV per formula unit
Space group   Imm2
E above lowest polymorph   0.364 eV/atom
Energy   -14.49 eV for the cell shown

Unit cell a=5.572 b=5.572 c=5.572 alpha=143.23 beta=119.56 gamma=72.88
Element x y z (fractional)
Be1 0.529 0.529 0.000
As1 0.931 0.931 0.000
As2 0.704 0.204 0.500
Te1 0.336 0.836 0.500